No. 1
Computed, not measured: LiAgAs2 at its PBEsol-relaxed geometry at the SCAN level of DFT.

```
LiAgAs2
1.0
-0.347 -1.698 -2.340
2.806 -2.635 1.496
-3.963 -2.021 3.865
Li As Ag
1 2 1
Cartesian
-2.696 -3.588 3.003 Li
2.146 -2.520 1.510 As
-0.314 -4.956 1.831 As
-0.566 -2.111 1.616 Ag
```

## Properties
- E_form (meV per atom) = -173

No. 2
Computed, not measured: Li3AgAs at its PBEsol-relaxed geometry at the SCAN level of DFT.

```
Li3AgAs
1.0
4.704 0.000 0.000
0.000 4.704 0.000
0.000 0.000 4.704
As Ag Li
1 1 3
Cartesian
0.000 0.000 0.000 As
2.352 2.352 2.352 Ag
0.000 0.000 2.352 Li
2.352 0.000 0.000 Li
0.000 2.352 0.000 Li
```

## Properties
- E_form (meV per atom) = -185

No. 3
Computed, not measured: LiAgAs2 at its PBEsol-relaxed geometry at the SCAN level of DFT.

```
LiAgAs2
1.0
-2.890 1.015 4.385
1.396 -2.978 4.871
1.920 4.283 3.537
Li Ag As
2 2 4
Cartesian
-1.445 0.507 2.193 Li
0.936 0.907 5.300 Li
-0.509 1.414 7.493 Ag
0.000 0.000 0.000 Ag
0.416 -0.208 9.294 As
-1.819 -0.445 6.244 As
1.523 3.019 7.645 As
0.732 2.275 2.403 As
```

## Properties
- E_form (meV per atom) = 8

No. 4
Computed, not measured: Li4AgAs at its PBEsol-relaxed geometry at the SCAN level of DFT.

```
Li4AgAs
1.0
5.035 0.000 0.000
2.518 4.360 0.000
2.518 1.453 4.111
Li As Ag
4 1 1
Cartesian
3.773 2.178 1.540 Li
5.035 2.907 3.602 Li
5.035 4.365 1.540 Li
6.297 2.178 1.540 Li
0.000 0.000 0.000 As
7.553 4.360 3.083 Ag
```

## Properties
- E_form (meV per atom) = -87

What did we get for VASP energy? Answer: -18.71, -11.93, -18.53, -10.27 eV/atom, in the order shown.
What did we get for DOS at the Fermi energy? Answer: 0.276, 0.273, 0.488, 0.181 states/eV per atom, in the order shown.